{"formula": "NaErF4", "functional": "GGA-PBEsol", "state": "optimized geometry", "crystal_system": "tetragonal", "formation_energy_uncorrected_ev_per_atom": -3.74, "cell": [[3.733, 0.000, 0.000], [0.000, 3.733, 0.000], [0.000, 0.000, 5.457]], "species": ["Na", "Er", "F", "F", "F", "F"], "frac_coords": [[0.000, 0.000, 0.000], [0.500, 0.500, 0.500], [0.000, 0.500, 0.271], [0.000, 0.500, 0.729], [0.500, 0.000, 0.271], [0.500, 0.000, 0.729]]}